# 1
Computed, not measured: a relaxed K4H2O crystal at the GGA-PBE level of DFT. Values from VASP.

Results
- total DFT energy (no corrections) (eV per atom) = -2.78
- DOS at the Fermi energy (states/eV per atom) = 0.0000
- SG = I4/mmm (139)

```
&SYSTEM
  ibrav = 0, nat = 7, ntyp = 3
/
ATOMIC_SPECIES
K 39.10 K.upf
H 1.01 H.upf
O 16.00 O.upf
ATOMIC_POSITIONS angstrom
K 2.5793 0.0000 0.0000
K 0.0000 0.0000 2.5476
K 0.0000 2.5793 0.0000
K 0.0000 0.0000 12.2895
H 0.0000 0.0000 5.2759
H 0.0000 0.0000 9.5612
O 0.0000 0.0000 0.0000
CELL_PARAMETERS angstrom
-2.5793 2.5793 7.4185
2.5793 -2.5793 7.4185
2.5793 2.5793 -7.4185
```

# 2
Computed, not measured: a relaxed MnAlCl crystal at the GGA-PBE level of DFT. Values from VASP.

Results
- total DFT energy (no corrections) (eV per atom) = -4.33
- formation energy without anion corrections (meV/atom) = 592
- distance to the lowest polymorph of the same formula (meV/atom) = 732
- DOS at the Fermi energy (states/eV per atom) = 0.5285
- SG = F-43m (216)

```
&SYSTEM
  ibrav = 0, nat = 3, ntyp = 3
/
ATOMIC_SPECIES
Mn 54.94 Mn.upf
Al 26.98 Al.upf
Cl 35.45 Cl.upf
ATOMIC_POSITIONS angstrom
Mn 0.0000 0.0000 0.0000
Al 4.9964 4.9964 4.9964
Cl 3.3310 3.3310 3.3310
CELL_PARAMETERS angstrom
0.0000 3.3310 3.3310
3.3310 0.0000 3.3310
3.3310 3.3310 0.0000
```

# 3
Computed, not measured: a relaxed Sc2TcHgH crystal at the GGA-PBE level of DFT. Values from VASP.

Results
- total DFT energy (no corrections) (eV per atom) = -5.68
- DOS at the Fermi energy (states/eV per atom) = 0.6483
- SG = P4/mmm (123)

```
&SYSTEM
  ibrav = 0, nat = 5, ntyp = 4
/
ATOMIC_SPECIES
Sc 44.96 Sc.upf
Tc 98.00 Tc.upf
Hg 200.59 Hg.upf
H 1.01 H.upf
ATOMIC_POSITIONS angstrom
Sc 0.0000 2.3212 0.0000
Sc 2.3212 0.0000 0.0000
Tc 0.0000 0.0000 1.8229
Hg 2.3212 2.3212 1.8229
H 0.0000 0.0000 0.0000
CELL_PARAMETERS angstrom
4.6425 0.0000 0.0000
0.0000 4.6425 0.0000
0.0000 0.0000 3.6458
```